A plane-wave DFT calculation with PBE-GGA was carried out for crystalline Tb6Er3Sc at its relaxed geometry.

Cell lengths 10.8759, 10.8759, 6.1229 Å; angles 90.00, 90.00, 120.03 degrees
Last column: nearest neighbours and their distance in Å.
Sites, in units of the cell vectors:
1 Tb 0.0470 0.9530 0.5000  1 Sc 3.21, 4 Er 3.47-3.58, 2 Tb 3.54
2 Tb 0.0501 0.4722 0.0737  5 Tb 3.17-3.41, 2 Er 3.25-3.52, 2 Sc 3.31-3.34
3 Tb 0.2769 0.7231 0.7801  4 Tb 3.17-3.35, 2 Sc 3.26-3.45, 1 Er 3.33
4 Tb 0.2891 0.3808 0.8874  4 Er 3.39-3.61, 5 Tb 3.41-3.71
5 Tb 0.3808 0.2891 0.3874  4 Er 3.39-3.61, 5 Tb 3.41-3.71
6 Tb 0.4722 0.0501 0.5737  5 Tb 3.17-3.41, 2 Er 3.25-3.52, 2 Sc 3.31-3.34
7 Tb 0.5278 0.9499 0.0737  5 Tb 3.17-3.41, 2 Er 3.25-3.52, 2 Sc 3.31-3.34
8 Tb 0.6192 0.7109 0.8874  4 Er 3.39-3.61, 5 Tb 3.41-3.71
9 Tb 0.7109 0.6192 0.3874  4 Er 3.39-3.61, 5 Tb 3.41-3.71
10 Tb 0.7231 0.2769 0.2801  4 Tb 3.17-3.35, 2 Sc 3.26-3.45, 1 Er 3.33
11 Tb 0.9499 0.5278 0.5737  5 Tb 3.17-3.41, 2 Er 3.25-3.52, 2 Sc 3.31-3.34
12 Tb 0.9530 0.0470 0.0000  1 Sc 3.21, 4 Er 3.47-3.58, 2 Tb 3.54
13 Er 0.0539 0.2747 0.4681  1 Sc 3.22, 6 Tb 3.25-3.58, 1 Er 3.57
14 Er 0.2747 0.0539 0.9681  1 Sc 3.22, 6 Tb 3.25-3.58, 1 Er 3.57
15 Er 0.3880 0.6120 0.3574  7 Tb 3.33-3.64, 1 Sc 3.48, 2 Er 3.71
16 Er 0.6120 0.3880 0.8574  7 Tb 3.33-3.64, 1 Sc 3.48, 2 Er 3.71
17 Er 0.7253 0.9461 0.4681  1 Sc 3.22, 6 Tb 3.25-3.58, 1 Er 3.57
18 Er 0.9461 0.7253 0.9681  1 Sc 3.22, 6 Tb 3.25-3.58, 1 Er 3.57
19 Sc 0.2042 0.7958 0.2970  7 Tb 3.21-3.45, 3 Er 3.22-3.48
20 Sc 0.7958 0.2042 0.7970  7 Tb 3.21-3.45, 3 Er 3.22-3.48

- DOS at the Fermi energy: 13.8 states/eV/f.u.
- Crystal system: orthorhombic
- Magnetization: 0.00 μB/atom
- Relative energy among the computed polymorphs: 0 meV per atom


A plane-wave DFT calculation with PBE-GGA was carried out for crystalline CeEuZnSb at its relaxed geometry.

Cell lengths 5.3760, 5.3760, 5.3760 Å; angles 60.00, 60.00, 60.00 degrees
Last column: nearest neighbours and their distance in Å.
Sites, in units of the cell vectors:
1 Ce 0.0000 0.0000 0.0000  4 Sb 3.29, 4 Zn 3.29
2 Eu 0.5000 0.5000 0.5000  4 Sb 3.29, 4 Zn 3.29
3 Zn 0.7500 0.7500 0.7500  4 Ce 3.29, 4 Eu 3.29
4 Sb 0.2500 0.2500 0.2500  4 Ce 3.29, 4 Eu 3.29

- DOS at the Fermi energy: 10.5 states/eV/f.u.
- Crystal system: cubic
- Magnetization: 2.14 μB/atom
- Uncorrected formation energy: -0.526 eV per atom


A plane-wave DFT calculation with PBE-GGA was carried out for crystalline Ho5In4Ag at its relaxed geometry.

Cell lengths 3.5697, 3.5697, 20.2239 Å; angles 90.00, 90.00, 90.00 degrees
Last column: nearest neighbours and their distance in Å.
Sites, in units of the cell vectors:
1 Ho 0.0000 0.0000 0.0000  8 In 3.27, 4 Ho 3.57
2 Ho 0.0000 0.0000 0.2056  8 In 3.27, 4 Ho 3.57
3 Ho 0.0000 0.0000 0.4094  4 Ag 3.12, 4 In 3.25
4 Ho 0.0000 0.0000 0.5906  4 Ag 3.12, 4 In 3.25
5 Ho 0.0000 0.0000 0.7944  8 In 3.27, 4 Ho 3.57
6 In 0.5000 0.5000 0.1028  8 Ho 3.27, 4 In 3.57
7 In 0.5000 0.5000 0.3081  8 Ho 3.25-3.27, 4 In 3.57
8 In 0.5000 0.5000 0.6919  8 Ho 3.25-3.27, 4 In 3.57
9 In 0.5000 0.5000 0.8972  8 Ho 3.27, 4 In 3.57
10 Ag 0.5000 0.5000 0.5000  8 Ho 3.12

- DOS at the Fermi energy: 6.7 states/eV/f.u.
- Crystal system: tetragonal
- Magnetization: 0.00 μB/atom
- Final energy: -4.11 eV per atom